Compound: BaLi6Pt2
Source: Alexandria via LeMat-Bulk
Functional: PBE
Structure: optimized geometry

```
9
Lattice="4.4530 0.0000 0.0000 0.0000 4.4530 0.0000 0.0000 0.0000 9.1231" Properties=species:S:1:pos:R:3 pbc="T T T"
Ba 0.0000 0.0000 0.0000
Li 0.0000 2.2265 2.6718
Li 2.2265 0.0000 2.6718
Li 0.0000 2.2265 6.4513
Li 2.2265 0.0000 6.4513
Li 2.2265 2.2265 4.5615
Li 0.0000 0.0000 4.5615
Pt 2.2265 2.2265 1.3416
Pt 2.2265 2.2265 7.7814
```

Summary:
Formation energy from the elements (meV/atom): -348
M_tot (μB per formula unit): 0.000



Compound: BaLiPt2
Source: Alexandria via LeMat-Bulk
Functional: PBE
Structure: optimized geometry

```
4
Lattice="-1.2187 -2.0404 4.8027 3.8022 -3.5153 1.3788 0.3153 5.0718 -1.7008" Properties=species:S:1:pos:R:3 pbc="T T T"
Ba 0.1942 0.1267 3.0964
Li 2.7046 -0.6107 1.3844
Pt 0.0008 -0.0018 0.0020
Pt 1.2909 -2.7760 3.0888
```

Summary:
Distance to the lowest polymorph of the same formula (meV/atom): 301.2
Formation energy from the elements (meV/atom): -283
M_tot (μB per formula unit): 0.000



Compound: BaLi2Pt2
Source: Alexandria via LeMat-Bulk
Functional: PBE
Structure: optimized geometry

```
10
Lattice="7.8721 0.0000 0.0000 0.0000 7.8721 0.0000 0.0000 0.0000 3.0795" Properties=species:S:1:pos:R:3 pbc="T T T"
Ba 0.0000 0.0000 0.0000
Ba 3.9360 3.9360 0.0000
Pt 1.3578 5.2939 1.5398
Pt 5.2939 6.5143 1.5398
Pt 6.5143 2.5782 1.5398
Pt 2.5782 1.3578 1.5398
Li 3.0363 6.9723 0.0000
Li 6.9723 4.8358 0.0000
Li 4.8358 0.8998 0.0000
Li 0.8998 3.0363 0.0000
```

Summary:
Distance to the lowest polymorph of the same formula (meV/atom): 123.7
Formation energy from the elements (meV/atom): -445
M_tot (μB per formula unit): 0.000



Compound: Ba3LiPt3
Source: Alexandria via LeMat-Bulk
Functional: PBE
Structure: optimized geometry

```
14
Lattice="4.4611 0.0000 0.6720 2.2106 5.9237 0.4687 0.0208 -0.1460 15.0054" Properties=species:S:1:pos:R:3 pbc="T T T"
Ba 3.0877 1.8254 9.7894
Ba 3.6048 3.9523 6.3568
Ba 1.7150 1.4863 3.7586
Ba 4.9775 4.2914 12.3876
Ba 2.4141 1.5299 14.2610
Ba 4.2784 4.2479 1.8851
Li 3.5272 0.2997 6.8722
Li 3.1654 5.4780 9.2739
Pt 5.4750 4.1095 9.0849
Pt 1.2175 1.6682 7.0613
Pt 2.4089 4.9520 14.2960
Pt 4.2837 0.8257 1.8502
Pt 6.1570 4.9874 4.5577
Pt 0.5356 0.7903 11.5884
```

Summary:
Formation energy from the elements (meV/atom): -662
M_tot (μB per formula unit): 0.000



Compound: Ba5Li2Pt
Source: Alexandria via LeMat-Bulk
Functional: PBE
Structure: optimized geometry

```
16
Lattice="7.2675 0.0000 -3.1090 -0.4142 9.3018 -0.9681 0.3981 -0.1777 10.9792" Properties=species:S:1:pos:R:3 pbc="T T T"
Ba 3.9721 5.1335 6.5290
Ba 0.4408 6.9764 -1.0475
Ba 6.4126 2.3255 -3.0296
Ba 6.1544 6.3906 2.7620
Ba 1.0970 2.7336 4.1400
Ba 5.2219 1.7397 3.7336
Ba 2.0295 7.3845 3.1684
Ba 3.2794 3.9907 0.3731
Ba 2.1860 0.4825 7.8657
Ba 5.0655 8.6416 -0.9637
Li 0.7558 3.8637 8.0008
Li 5.0574 8.5146 5.5880
Li 6.4956 5.2605 -1.0988
Li 2.1940 0.6096 1.3141
Pt 0.1991 -0.0888 5.4896
Pt 3.6257 4.5621 3.4510
```

Summary:
Formation energy from the elements (meV/atom): -197
M_tot (μB per formula unit): 0.000



Compound: Ba12LiPt4
Source: Alexandria via LeMat-Bulk
Functional: PBE
Structure: optimized geometry

```
17
Lattice="-9.0418 2.6914 -4.6794 4.5792 -7.8456 -5.3265 -2.0027 -3.1565 9.8448" Properties=species:S:1:pos:R:3 pbc="T T T"
Ba -0.2918 -8.0132 4.2579
Ba 2.0579 -6.9180 -1.6300
Ba -2.0862 -7.0925 0.3082
Ba -3.8297 -2.6337 5.9854
Ba -5.6089 -4.6887 1.9961
Ba -1.4261 -3.1697 2.2688
Ba -5.0393 -5.1410 -2.4299
Ba -2.6356 -5.6770 -6.1465
Ba -0.8564 -3.6220 -2.1572
Ba -4.3791 -1.2182 -0.4692
Ba -8.5233 -1.3927 1.4689
Ba -6.1735 -0.2975 -4.4190
Li 1.2882 -5.5010 2.2591
Pt -4.5209 1.3457 -2.3397
Pt 2.2896 -3.9228 -2.6633
Pt -1.0014 -1.5782 4.9224
Pt -3.2327 -4.1553 -0.0805
```

Summary:
Formation energy from the elements (meV/atom): -396
M_tot (μB per formula unit): 0.000



Compound: Ba3Li2Pt7
Source: Alexandria via LeMat-Bulk
Functional: PBE
Structure: optimized geometry

```
12
Lattice="5.3676 0.0000 1.6800 2.4209 4.7907 1.6800 -0.0241 -0.0148 9.4916" Properties=species:S:1:pos:R:3 pbc="T T T"
Ba 0.0000 0.0000 0.0000
Ba 6.6847 4.1117 6.8868
Ba 1.0797 0.6641 5.9649
Li 5.1805 3.1865 2.2778
Li 2.5839 1.5893 10.5739
Pt 3.8822 2.3879 6.4258
Pt 5.9665 2.0092 4.5024
Pt 4.4842 4.4190 4.5024
Pt 3.2664 2.0092 3.6573
Pt 1.7979 2.7667 8.3493
Pt 4.4980 2.7667 9.1944
Pt 3.2802 0.3568 8.3493
```

Summary:
Formation energy from the elements (meV/atom): -714
M_tot (μB per formula unit): 0.000



Compound: Ba6LiPt
Source: Alexandria via LeMat-Bulk
Functional: PBE
Structure: optimized geometry

```
8
Lattice="-3.1664 5.4848 -5.0599 -8.0116 0.2443 -1.2110 -4.4619 6.8996 3.7878" Properties=species:S:1:pos:R:3 pbc="T T T"
Ba -6.8264 5.6948 2.1065
Ba -6.3305 9.5294 -1.0877
Ba -4.7589 4.9558 -2.4044
Ba -9.3094 3.0994 -1.3954
Ba -8.8135 6.9339 -4.5897
Ba -10.8810 7.6729 -0.0787
Li -7.8199 6.3144 -1.2416
Pt 0.0000 0.0000 0.0000
```

Summary:
Distance to the lowest polymorph of the same formula (meV/atom): 0.0
Formation energy from the elements (meV/atom): -205
M_tot (μB per formula unit): 0.000



Compound: BaLiPt2
Source: Alexandria via LeMat-Bulk
Functional: PBE
Structure: optimized geometry

```
4
Lattice="4.5452 -0.0090 0.0147 2.2768 3.9338 0.0147 2.2552 1.2975 5.5242" Properties=species:S:1:pos:R:3 pbc="T T T"
Ba 6.8079 3.9167 4.1652
Li 2.2693 1.3056 1.3884
Pt 6.8185 3.9229 1.0813
Pt 4.5420 2.6131 1.7249
```

Summary:
Distance to the lowest polymorph of the same formula (meV/atom): 24.9
Formation energy from the elements (meV/atom): -559
M_tot (μB per formula unit): 0.000



Compound: BaLiPt
Source: Alexandria via LeMat-Bulk
Functional: PBE
Structure: optimized geometry

```
3
Lattice="-1.4577 2.2725 -3.5854 -2.2402 -3.6179 1.4269 -2.5269 2.6264 2.6920" Properties=species:S:1:pos:R:3 pbc="T T T"
Ba -2.5260 2.6255 2.6911
Pt -3.2436 -0.3404 1.1030
Li -2.9816 1.6218 -0.5690
```

Summary:
Distance to the lowest polymorph of the same formula (meV/atom): 56.9
Formation energy from the elements (meV/atom): -520
M_tot (μB per formula unit): 0.001



Compound: BaLi4Pt
Source: Alexandria via LeMat-Bulk
Functional: PBE
Structure: optimized geometry

```
12
Lattice="-4.9333 2.4893 0.3685 -2.8712 -5.9035 1.7844 5.4006 3.4533 7.2218" Properties=species:S:1:pos:R:3 pbc="T T T"
Ba -3.0580 -0.7240 5.7503
Ba 0.6541 0.7631 3.6244
Li -1.0708 -2.5279 2.9144
Li 1.9791 2.9614 6.4966
Li -0.5769 -1.1658 0.3595
Li -2.9323 0.0777 1.9830
Li -1.3331 2.5671 6.4602
Li -4.3829 -2.9223 2.8781
Li -1.8270 1.2050 9.0152
Li 0.5284 -0.0385 7.3917
Pt 2.6979 1.1395 8.2088
Pt -5.1018 -1.1003 1.1659
```

Summary:
Distance to the lowest polymorph of the same formula (meV/atom): 0.0
Formation energy from the elements (meV/atom): -218
M_tot (μB per formula unit): 0.000



Compound: Ba4Li2Pt
Source: Alexandria via LeMat-Bulk
Functional: PBE
Structure: optimized geometry

```
7
Lattice="-3.6937 0.1036 4.8979 4.8674 -0.6182 3.6838 1.4297 8.9993 4.7306" Properties=species:S:1:pos:R:3 pbc="T T T"
Ba 1.4654 2.6886 8.7339
Ba 1.1380 5.7961 4.5784
Ba 2.4337 -0.3091 1.8419
Ba -1.8469 0.0518 2.4490
Pt 0.0000 0.0000 0.0000
Li 1.8061 6.4306 8.9117
Li 0.7973 2.0541 4.4007
```

Summary:
Formation energy from the elements (meV/atom): -184
M_tot (μB per formula unit): 0.000